A relaxed structure of PdW2Br8. Source: the Alexandria database, functional GGA-PBE.

Values from the calculation:
Its total energy is -46.21 eV/cell. As for the space group: No. 12. As for the uncorrected formation energy: -157 meV/atom.

Unit cell a=8.4767 b=8.4767 c=6.2671 alpha=91.70 beta=91.70 gamma=62.71
Positions (direct):
1 Pd 0.0000 0.0000 0.0000
2 W 0.1285 0.1285 0.3111
3 W 0.8715 0.8715 0.6889
4 Br 0.1245 0.1245 0.7049
5 Br 0.1761 0.6336 0.7210
6 Br 0.2818 0.2818 0.1907
7 Br 0.3664 0.8239 0.2790
8 Br 0.6336 0.1761 0.7210
9 Br 0.7182 0.7182 0.8093
10 Br 0.8239 0.3664 0.2790
11 Br 0.8755 0.8755 0.2951

A relaxed structure of TbHo3Th2Bi6. Source: the Alexandria database, functional GGA-PBE.

Values from the calculation:
Its total energy is -65.54 eV/cell. As for the formation energy: -754.6 meV/atom. As for the space group: No. 12.

Unit cell a=10.0842 b=10.0842 c=9.0129 alpha=102.77 beta=102.77 gamma=25.92
Positions (direct):
1 Tb 0.0000 0.0000 0.0000
2 Ho 0.0000 0.0000 0.5000
3 Ho 0.3329 0.3329 0.1660
4 Ho 0.6671 0.6671 0.8340
5 Th 0.3351 0.3351 0.6691
6 Th 0.6649 0.6649 0.3309
7 Bi 0.1648 0.1648 0.5890
8 Bi 0.1668 0.1668 0.0758
9 Bi 0.4970 0.4970 0.2502
10 Bi 0.5030 0.5030 0.7498
11 Bi 0.8332 0.8332 0.9242
12 Bi 0.8352 0.8352 0.4110

A relaxed structure of La4DyIn5. Source: the Alexandria database, functional GGA-PBE.

Values from the calculation:
Its total energy is -43.09 eV/cell. As for the formation energy: -508.5 meV/atom. As for the space group: No. 123.

Unit cell a=3.8795 b=3.8795 c=19.9360 alpha=90.00 beta=90.00 gamma=90.00
Positions (direct):
1 La 0.0000 0.0000 0.1025
2 La 0.0000 0.0000 0.3078
3 La 0.0000 0.0000 0.6922
4 La 0.0000 0.0000 0.8975
5 Dy 0.0000 0.0000 0.5000
6 In 0.5000 0.5000 0.0000
7 In 0.5000 0.5000 0.2053
8 In 0.5000 0.5000 0.4120
9 In 0.5000 0.5000 0.5880
10 In 0.5000 0.5000 0.7947

A relaxed structure of LiZn2Au. Source: the Alexandria database, functional GGA-PBE.

Values from the calculation:
Its total energy is -18.37 eV/cell. As for the formation energy: -361.0 meV/atom. As for the space group: No. 59.

Unit cell a=4.5292 b=5.7702 c=4.6389 alpha=90.00 beta=90.00 gamma=90.00
Positions (direct):
1 Li 0.2500 0.2500 0.1834
2 Li 0.7500 0.7500 0.8166
3 Zn 0.2500 0.5015 0.6959
4 Zn 0.2500 0.9985 0.6959
5 Zn 0.7500 0.0015 0.3041
6 Zn 0.7500 0.4985 0.3041
7 Au 0.2500 0.7500 0.1972
8 Au 0.7500 0.2500 0.8028

A relaxed structure of Ce5Pu2Rh4. Source: the Alexandria database, functional GGA-PBE.

Values from the calculation:
Its total energy is -90.74 eV/cell. As for the formation energy: -273.1 meV/atom. As for the space group: No. 12.

Unit cell a=11.0327 b=11.0327 c=6.6032 alpha=95.82 beta=95.82 gamma=18.83
Positions (direct):
1 Ce 0.0000 0.0000 0.0000
2 Ce 0.2777 0.2777 0.3432
3 Ce 0.3502 0.3502 0.9137
4 Ce 0.6498 0.6498 0.0863
5 Ce 0.7223 0.7223 0.6568
6 Pu 0.4007 0.4007 0.3113
7 Pu 0.5993 0.5993 0.6887
8 Rh 0.1320 0.1320 0.3741
9 Rh 0.4725 0.4725 0.6986
10 Rh 0.5275 0.5275 0.3014
11 Rh 0.8680 0.8680 0.6259

A relaxed structure of Ho2VNi. Source: the Alexandria database, functional GGA-PBE.

Values from the calculation:
Its total energy is -21.95 eV/cell. As for the formation energy: 525.4 meV/atom. As for the space group: No. 166.

Unit cell a=9.6899 b=9.6899 c=9.6899 alpha=20.00 beta=20.00 gamma=20.00
Positions (direct):
1 Ho 0.1006 0.1006 0.1006
2 Ho 0.8994 0.8994 0.8994
3 V 0.0000 0.0000 0.0000
4 Ni 0.5000 0.5000 0.5000

A relaxed structure of Li2SbW. Source: the Alexandria database, functional GGA-PBE.

Values from the calculation:
Its total energy is -19.32 eV/cell. As for the space group: No. 35. As for the uncorrected formation energy: 396 meV/atom.

Unit cell a=2.9452 b=2.9452 c=9.3984 alpha=90.00 beta=90.00 gamma=108.69
Positions (direct):
1 Li 0.0000 0.0000 0.0000
2 Li 0.5000 0.5000 0.2684
3 Sb 0.5000 0.5000 0.7391
4 W 0.0000 0.0000 0.5045

A relaxed structure of Mg2TlVCl. Source: the Alexandria database, functional GGA-PBE.

Values from the calculation:
Its total energy is -15.14 eV/cell. As for the space group: No. 123. As for the uncorrected formation energy: 276 meV/atom.

Unit cell a=5.5948 b=5.5948 c=4.5416 alpha=90.00 beta=90.00 gamma=90.00
Positions (direct):
1 Mg 0.0000 0.5000 0.0000
2 Mg 0.5000 0.0000 0.0000
3 Tl 0.0000 0.0000 0.5000
4 V 0.5000 0.5000 0.0000
5 Cl 0.5000 0.5000 0.5000